# 1
! GGA-PBE CdRe2Se, relaxed; values from VASP
&SYSTEM
  ibrav = 0, nat = 4, ntyp = 3
/
ATOMIC_SPECIES
Cd 112.41 Cd.upf
Re 186.21 Re.upf
Se 78.96 Se.upf
CELL_PARAMETERS angstrom
1.4691 0.8482 8.8060
-1.4691 0.8482 8.8060
0.0000 -1.6964 8.8060
ATOMIC_POSITIONS crystal
Cd 0.0000 0.0000 0.0000
Re 0.2401 0.2401 0.2401
Re 0.7599 0.7599 0.7599
Se 0.5000 0.5000 0.5000
! ΔE_f (raw) = 0.6504 eV per atom
! total moment = 0.001 μB/atom


# 2
! GGA-PBE CdRe2Se, relaxed; values from VASP
&SYSTEM
  ibrav = 0, nat = 4, ntyp = 3
/
ATOMIC_SPECIES
Cd 112.41 Cd.upf
Re 186.21 Re.upf
Se 78.96 Se.upf
CELL_PARAMETERS angstrom
1.4603 0.8431 9.9881
-1.4603 0.8431 9.9881
0.0000 -1.6862 9.9881
ATOMIC_POSITIONS crystal
Cd 0.0000 0.0000 0.0000
Re 0.4868 0.4868 0.4868
Re 0.7511 0.7511 0.7511
Se 0.2189 0.2189 0.2189
! ΔE_f (raw) = 0.2674 eV per atom
! total moment = 0.000 μB/atom


# 3
! GGA-PBE CdReSi2, relaxed; values from VASP
&SYSTEM
  ibrav = 0, nat = 4, ntyp = 3
/
ATOMIC_SPECIES
Cd 112.41 Cd.upf
Re 186.21 Re.upf
Si 28.09 Si.upf
CELL_PARAMETERS angstrom
-1.6748 2.3642 4.0410
1.6748 -2.3642 4.0410
1.6748 2.3642 -4.0410
ATOMIC_POSITIONS crystal
Cd 0.0000 0.0000 0.0000
Re 0.5000 0.5000 0.0000
Si 0.2640 0.7640 0.5000
Si 0.7360 0.2360 0.5000
! ΔE_f (raw) = 0.4969 eV per atom
! total moment = 0.000 μB/atom


# 4
! GGA-PBE CdReSi2, relaxed; values from VASP
&SYSTEM
  ibrav = 0, nat = 4, ntyp = 3
/
ATOMIC_SPECIES
Cd 112.41 Cd.upf
Re 186.21 Re.upf
Si 28.09 Si.upf
CELL_PARAMETERS angstrom
1.4733 -2.3556 0.0000
1.4733 2.3556 0.0000
0.0000 0.0000 9.6937
ATOMIC_POSITIONS crystal
Cd 0.0000 0.0000 0.0000
Re 0.5000 0.5000 0.2723
Si 0.0000 0.0000 0.4728
Si 0.5000 0.5000 0.6996
! ΔE_f (raw) = 0.4851 eV per atom
! total moment = 0.000 μB/atom


Repeat the fourth record exactly.
! GGA-PBE CdReSi2, relaxed; values from VASP
&SYSTEM
  ibrav = 0, nat = 4, ntyp = 3
/
ATOMIC_SPECIES
Cd 112.41 Cd.upf
Re 186.21 Re.upf
Si 28.09 Si.upf
CELL_PARAMETERS angstrom
1.4733 -2.3556 0.0000
1.4733 2.3556 0.0000
0.0000 0.0000 9.6937
ATOMIC_POSITIONS crystal
Cd 0.0000 0.0000 0.0000
Re 0.5000 0.5000 0.2723
Si 0.0000 0.0000 0.4728
Si 0.5000 0.5000 0.6996
! ΔE_f (raw) = 0.4851 eV per atom
! total moment = 0.000 μB/atom


total moment of number 3 (CdReSi2)?
0.000 μB/atom


What is the ΔE_f (raw) in the second record?
0.2674 eV per atom